Entry 1:
Computed, not measured: an optimized crystal structure of CuHgP2 at the PBEsol level of DFT.

Lattice parameters (Å, degrees): 4.1479 4.1479 7.4445 90.00 90.00 90.00
Last column: nearest neighbours and their distance in Å.
Space group I-4m2 (No. 119)
One atom of each set of equivalent atoms:
1 Cu 0.0000 0.0000 0.0000 (multiplicity 2)  4 Hg 2.79, 8 P 2.79-2.93
2 Hg 0.0000 0.5000 0.2500 (multiplicity 2)  4 Cu 2.79, 8 P 2.79-2.93
3 P 0.0000 0.0000 0.5000 (multiplicity 2)  4 Hg 2.79, 4 P 2.79, 4 Cu 2.93
4 P 0.0000 0.5000 0.7500 (multiplicity 2)  4 Cu 2.79, 4 P 2.79, 4 Hg 2.93

Calculated values
For the total energy, the calculation gives -3.54 eV/atom. The calculation puts the density of states at the Fermi level at 0.362 states/eV per atom. Its crystal system is tetragonal. The formation energy from the elements is 0.58 eV/atom. The theoretical density is 8.46 g/cm³.

=====

Entry 2:
Computed, not measured: an optimized crystal structure of Cu2HgP4 at the PBEsol level of DFT.

Lattice parameters (Å, degrees): 5.1056 5.1056 4.5513 90.00 90.00 90.00
Last column: nearest neighbours and their distance in Å.
Space group P-42m (No. 111)
One atom of each set of equivalent atoms:
1 Cu 0.0000 0.5000 0.0000 (multiplicity 2)  4 P 2.30
2 Hg 0.0000 0.0000 0.5000 (multiplicity 1)  4 P 2.70
3 P 0.3459 0.3459 0.7249 (multiplicity 4)  1 P 2.22, 2 Cu 2.30

Calculated values
For the total energy, the calculation gives -4.37 eV/atom. The calculation puts the density of states at the Fermi level at 0.457 states/eV per atom. Its crystal system is tetragonal. The formation energy from the elements is 0.26 eV/atom. The theoretical density is 6.32 g/cm³.

=====

Entry 3:
Computed, not measured: an optimized crystal structure of CuHgP2 at the PBEsol level of DFT.

Lattice parameters (Å, degrees): 2.6273 4.9168 9.9755 90.00 90.00 90.00
Last column: nearest neighbours and their distance in Å.
Space group Immm (No. 71)
One atom of each set of equivalent atoms:
1 Cu 0.0000 0.0000 0.0000 (multiplicity 2)  4 P 2.46, 2 Cu 2.63
2 Hg 0.0000 0.0000 0.5000 (multiplicity 2)  2 Hg 2.63, 4 Cu 2.79
3 P 0.0000 0.5000 0.2913 (multiplicity 4)  2 Cu 2.46, 2 P 2.63

Calculated values
For the total energy, the calculation gives -3.75 eV/atom. The calculation puts the density of states at the Fermi level at 0.341 states/eV per atom. Its crystal system is orthorhombic. The formation energy from the elements is 0.37 eV/atom. The theoretical density is 8.40 g/cm³.

=====

Entry 4:
Computed, not measured: an optimized crystal structure of CuHgP2 at the PBEsol level of DFT.

Lattice parameters (Å, degrees): 4.0522 3.5598 5.0818 90.00 104.67 90.00
Last column: nearest neighbours and their distance in Å.
Space group P2/m (No. 10)
One atom of each set of equivalent atoms:
1 Cu 0.0000 0.0000 0.0000 (multiplicity 1)  4 P 2.31
2 Hg 0.5000 0.0000 0.5000 (multiplicity 1)  2 Cu 2.82, 4 P 2.83
3 P 0.2617 0.5000 0.8449 (multiplicity 2)  1 P 2.16, 2 Cu 2.31

Calculated values
For the total energy, the calculation gives -4.01 eV/atom. The calculation puts the density of states at the Fermi level at 0.261 states/eV per atom. Its crystal system is monoclinic. The formation energy from the elements is 0.11 eV/atom. The theoretical density is 7.64 g/cm³.

=====

Entry 5:
Computed, not measured: an optimized crystal structure of CuHg2Pb at the PBEsol level of DFT.

Lattice parameters (Å, degrees): 4.2244 4.2244 4.8121 90.00 90.00 90.00
Last column: nearest neighbours and their distance in Å.
Space group P4/mmm (No. 123)
One atom of each set of equivalent atoms:
1 Cu 0.0000 0.0000 0.0000 (multiplicity 1)  4 Pb 2.99, 8 Hg 3.20
2 Hg 0.0000 0.5000 0.5000 (multiplicity 2)  4 Hg 2.99, 4 Pb 3.20, 4 Cu 3.20
3 Pb 0.5000 0.5000 0.0000 (multiplicity 1)  4 Cu 2.99, 8 Hg 3.20

Calculated values
For the total energy, the calculation gives -2.13 eV/atom. The calculation puts the density of states at the Fermi level at 0.413 states/eV per atom. Its crystal system is tetragonal. The formation energy from the elements is 0.23 eV/atom. The theoretical density is 12.99 g/cm³.

=====

Entry 6:
Computed, not measured: an optimized crystal structure of CuHg2Pb at the PBEsol level of DFT.

Lattice parameters (Å, degrees): 7.0141 7.0141 7.0141 90.00 90.00 90.00
Last column: nearest neighbours and their distance in Å.
Space group F-43m (No. 216)
One atom of each set of equivalent atoms:
1 Cu 0.0000 0.0000 0.0000 (multiplicity 4)  4 Hg 3.04, 4 Pb 3.04
2 Hg 0.0000 0.0000 0.5000 (multiplicity 4)  4 Hg 3.04, 4 Pb 3.04
3 Hg 0.2500 0.2500 0.2500 (multiplicity 4)  4 Hg 3.04, 4 Cu 3.04
4 Pb 0.2500 0.2500 0.7500 (multiplicity 4)  4 Hg 3.04, 4 Cu 3.04

Calculated values
For the total energy, the calculation gives -2.09 eV/atom. The calculation puts the density of states at the Fermi level at 0.371 states/eV per atom. Its crystal system is cubic. The formation energy from the elements is 0.27 eV/atom. The theoretical density is 12.93 g/cm³.

=====

- Among the records above, which one has the highest theoretical density?
  number 5